Record 1
The following is a DFT calculation (PBE) of HfTiSn2 after structural relaxation.

Output
calculated volume: 85 Å³/f.u.
ΔH_f (0 K): -0.139 eV per atom
Fermi-level density of states: 0.820 states/eV per atom
E: -0.4853 Ry per atom
symmetry: R-3m, No. 166
excess energy over the best structure of this formula in the dataset: 0.074 eV/atom

a = 9.8158 Å, b = 9.8158 Å, c = 9.8158 Å
α = 18.73°, β = 18.73°, γ = 18.73°
Sites, in units of the cell vectors:
Hf  0.0000  0.0000  0.0000
Ti  0.5000  0.5000  0.5000
Sn  0.2466  0.2466  0.2466
Sn  0.7534  0.7534  0.7534

***

Record 2
The following is a DFT calculation (PBE) of PmCdAu after structural relaxation.

Output
calculated volume: 73 Å³/f.u.
ΔH_f (0 K): -0.656 eV per atom
Fermi-level density of states: 0.525 states/eV per atom
E: -0.2673 Ry per atom
symmetry: P-62m, No. 189
excess energy over the best structure of this formula in the dataset: 0.000 eV/atom

a = 7.9512 Å, b = 7.9512 Å, c = 3.9747 Å
α = 90.00°, β = 90.00°, γ = 120.00°
Sites, in units of the cell vectors:
Pm  0.0000  0.5969  0.0000
Pm  0.4031  0.4031  0.0000
Pm  0.5969  0.0000  0.0000
Cd  0.0000  0.2605  0.5000
Cd  0.2605  0.0000  0.5000
Cd  0.7395  0.7395  0.5000
Au  0.0000  0.0000  0.0000
Au  0.3333  0.6667  0.5000
Au  0.6667  0.3333  0.5000

***

Record 3
The following is a DFT calculation (PBE) of SbAu2IF after structural relaxation.

Output
calculated volume: 177 Å³/f.u.
Fermi-level density of states: 1.312 states/eV per atom
E: -0.1548 Ry per atom
symmetry: P4/mmm, No. 123

a = 5.3271 Å, b = 5.3271 Å, c = 6.2356 Å
α = 90.00°, β = 90.00°, γ = 90.00°
Sites, in units of the cell vectors:
Sb  0.0000  0.0000  0.0000
Au  0.0000  0.5000  0.5000
Au  0.5000  0.0000  0.5000
I  0.0000  0.0000  0.5000
F  0.5000  0.5000  0.0000

***

Record 4
The following is a DFT calculation (PBE) of AlFeAs2 after structural relaxation.

Output
calculated volume: 70 Å³/f.u.
ΔH_f (0 K): 0.020 eV per atom
Fermi-level density of states: 0.708 states/eV per atom
E: -0.3937 Ry per atom
symmetry: R3m, No. 160

a = 9.4952 Å, b = 9.4952 Å, c = 9.4952 Å
α = 17.78°, β = 17.78°, γ = 17.78°
Sites, in units of the cell vectors:
Al  0.0000  0.0000  0.0000
Fe  0.2648  0.2648  0.2648
As  0.5367  0.5367  0.5367
As  0.7417  0.7417  0.7417

***

Record 5
The following is a DFT calculation (PBE) of BeCrS2N after structural relaxation.

Output
calculated volume: 75 Å³/f.u.
Fermi-level density of states: 0.414 states/eV per atom
E: -0.4071 Ry per atom
symmetry: P4/mmm, No. 123
excess energy over the best structure of this formula in the dataset: 0.000 eV/atom

a = 4.6577 Å, b = 4.6577 Å, c = 3.4692 Å
α = 90.00°, β = 90.00°, γ = 90.00°
Sites, in units of the cell vectors:
Be  0.0000  0.0000  0.0000
Cr  0.5000  0.5000  0.5000
S  0.0000  0.5000  0.5000
S  0.5000  0.0000  0.5000
N  0.5000  0.5000  0.0000

***

Record 6
The following is a DFT calculation (PBE) of BaScSe after structural relaxation.

Output
calculated volume: 91 Å³/f.u.
Fermi-level density of states: 1.019 states/eV per atom
E: -0.3506 Ry per atom
symmetry: I4mm, No. 107
excess energy over the best structure of this formula in the dataset: 0.044 eV/atom

a = 6.9799 Å, b = 6.9799 Å, c = 6.9799 Å
α = 148.80°, β = 148.80°, γ = 44.71°
Sites, in units of the cell vectors:
Ba  0.0000  0.0000  0.0000
Sc  0.2892  0.2892  0.0000
Se  0.7176  0.7176  0.0000

***

Record 7
The following is a DFT calculation (PBE) of SmDyAg4 after structural relaxation.

Output
calculated volume: 150 Å³/f.u.
ΔH_f (0 K): 0.013 eV per atom
Fermi-level density of states: 0.720 states/eV per atom
E: -0.2530 Ry per atom
symmetry: Pmmm, No. 47
excess energy over the best structure of this formula in the dataset: 0.302 eV/atom

a = 3.9341 Å, b = 3.9597 Å, c = 9.6453 Å
α = 90.00°, β = 90.00°, γ = 90.00°
Sites, in units of the cell vectors:
Sm  0.0000  0.0000  0.0000
Dy  0.5000  0.5000  0.5000
Ag  0.0000  0.5000  0.2543
Ag  0.0000  0.5000  0.7457
Ag  0.5000  0.0000  0.2557
Ag  0.5000  0.0000  0.7443

***

Record 8
The following is a DFT calculation (PBE) of LiTb4Hg7 after structural relaxation.

Output
calculated volume: 316 Å³/f.u.
ΔH_f (0 K): -0.326 eV per atom
Fermi-level density of states: 0.614 states/eV per atom
E: -0.1621 Ry per atom
symmetry: C2/m, No. 12

a = 7.0389 Å, b = 7.0389 Å, c = 10.7051 Å
α = 118.18°, β = 118.18°, γ = 43.84°
Sites, in units of the cell vectors:
Li  0.0000  0.0000  0.0000
Tb  0.2644  0.2644  0.6877
Tb  0.4215  0.4215  0.2248
Tb  0.5785  0.5785  0.7752
Tb  0.7356  0.7356  0.3123
Hg  0.0783  0.0783  0.3344
Hg  0.1914  0.1914  0.9251
Hg  0.3608  0.3608  0.4677
Hg  0.5000  0.5000  0.0000
Hg  0.6392  0.6392  0.5323
Hg  0.8086  0.8086  0.0749
Hg  0.9217  0.9217  0.6656

***

Record 9
The following is a DFT calculation (PBE) of SiTe2NF after structural relaxation.

Output
calculated volume: 96 Å³/f.u.
Fermi-level density of states: 0.860 states/eV per atom
E: -0.2356 Ry per atom
symmetry: P4/mmm, No. 123
excess energy over the best structure of this formula in the dataset: 1.102 eV/atom

a = 4.8824 Å, b = 4.8824 Å, c = 4.0075 Å
α = 90.00°, β = 90.00°, γ = 90.00°
Sites, in units of the cell vectors:
Si  0.0000  0.0000  0.0000
Te  0.0000  0.5000  0.5000
Te  0.5000  0.0000  0.5000
N  0.5000  0.5000  0.0000
F  0.5000  0.5000  0.5000

***

Record 10
The following is a DFT calculation (PBE) of K2RbPt2 after structural relaxation.

Output
calculated volume: 177 Å³/f.u.
ΔH_f (0 K): 0.173 eV per atom
Fermi-level density of states: 0.044 states/eV per atom
E: -0.2114 Ry per atom
symmetry: I4/mmm, No. 139
excess energy over the best structure of this formula in the dataset: 0.040 eV/atom

a = 7.4400 Å, b = 7.4400 Å, c = 7.4400 Å
α = 138.81°, β = 138.81°, γ = 59.66°
Sites, in units of the cell vectors:
K  0.2500  0.7500  0.5000
K  0.7500  0.2500  0.5000
Rb  0.0000  0.0000  0.0000
Pt  0.4015  0.4015  0.0000
Pt  0.5985  0.5985  0.0000

***

Record 11
The following is a DFT calculation (PBE) of La2AsPt after structural relaxation.

Output
calculated volume: 116 Å³/f.u.
ΔH_f (0 K): -1.181 eV per atom
Fermi-level density of states: 0.929 states/eV per atom
E: -0.4643 Ry per atom
symmetry: R3m, No. 160

a = 7.7333 Å, b = 7.7333 Å, c = 7.7333 Å
α = 32.06°, β = 32.06°, γ = 32.06°
Sites, in units of the cell vectors:
La  0.0000  0.0000  0.0000
La  0.1741  0.1741  0.1741
As  0.7523  0.7523  0.7523
Pt  0.5876  0.5876  0.5876

***

Record 12
The following is a DFT calculation (PBE) of Gd2ThIn after structural relaxation.

Output
calculated volume: 119 Å³/f.u.
ΔH_f (0 K): -0.048 eV per atom
Fermi-level density of states: 1.517 states/eV per atom
E: -0.7076 Ry per atom
symmetry: Fm-3m, No. 225
excess energy over the best structure of this formula in the dataset: 0.191 eV/atom

a = 5.5237 Å, b = 5.5237 Å, c = 5.5237 Å
α = 60.00°, β = 60.00°, γ = 60.00°
Sites, in units of the cell vectors:
Gd  0.2500  0.2500  0.2500
Gd  0.7500  0.7500  0.7500
Th  0.0000  0.0000  0.0000
In  0.5000  0.5000  0.5000

***

Record 13
The following is a DFT calculation (PBE) of GeSbAu after structural relaxation.

Output
calculated volume: 72 Å³/f.u.
Fermi-level density of states: 0.221 states/eV per atom
E: -0.2913 Ry per atom
symmetry: F-43m, No. 216
excess energy over the best structure of this formula in the dataset: 0.000 eV/atom

a = 4.6769 Å, b = 4.6769 Å, c = 4.6769 Å
α = 60.00°, β = 60.00°, γ = 60.00°
Sites, in units of the cell vectors:
Ge  0.0000  0.0000  0.0000
Sb  0.5000  0.5000  0.5000
Au  0.7500  0.7500  0.7500